[1]
A geometry-optimized CaNiBr2 structure. Source: the Alexandria database, functional PBE-GGA.

Unit cell a=4.1541 b=7.4811 c=7.5068 alpha=99.83 beta=104.02 gamma=98.28
Last column: nearest neighbours and their distance in Å.
Space group P1 (No. 1)
One atom of each set of equivalent atoms:
Ca  0.0000  0.0000  0.0000 x1  2 Ni 2.92-2.95, 5 Br 2.96-3.14
Ca  0.1295  0.7889  0.4552 x1  2 Ni 2.77-3.09, 4 Br 2.87-3.08
Ni  0.2399  0.1638  0.4581 x1  2 Br 2.31-2.33, 2 Ni 2.47-2.53
Ni  0.6404  0.0310  0.2903 x1  2 Br 2.31-2.35, 2 Ni 2.47-2.53
Br  0.4327  0.1393  0.7668 x1  1 Ni 2.31
Br  0.4496  0.7224  0.1440 x1  1 Ni 2.31
Br  0.7139  0.6742  0.6862 x1  3 Ca 2.87-2.96
Br  0.9103  0.3222  0.2680 x1  2 Ni 2.33-2.35

Values from the calculation:
E ... -30.4 eV/cell

[2]
A geometry-optimized CaNiBr2 structure. Source: the Alexandria database, functional PBE-GGA.

Unit cell a=7.1296 b=7.7979 c=5.2557 alpha=90.00 beta=132.45 gamma=90.00
Last column: nearest neighbours and their distance in Å.
Space group C2/m (No. 12)
One atom of each set of equivalent atoms:
Ca  0.0000  0.0000  0.0000 x2  4 Br 2.75
Ni  0.0000  0.5000  0.0000 x2  4 Br 2.75
Br  0.2500  0.2500  0.5000 x4  2 Ni 2.75, 2 Ca 2.75

Values from the calculation:
Fermi-level density of states ... 2.35 states/eV per cell
E ... -26.9 eV/cell

[3]
A geometry-optimized CaNiBr2 structure. Source: the Alexandria database, functional PBE-GGA.

Unit cell a=3.9545 b=3.9545 c=6.1933 alpha=90.00 beta=90.00 gamma=90.00
Last column: nearest neighbours and their distance in Å.
Space group P4mm (No. 99)
One atom of each set of equivalent atoms:
Ca  0.0000  0.0000  0.0000 x1  5 Br 2.75-2.93
Ni  0.5000  0.5000  0.2215 x1  1 Br 2.26
Br  0.0000  0.0000  0.4435 x1  1 Ca 2.75
Br  0.5000  0.5000  0.8573 x1  1 Ni 2.26

Values from the calculation:
Fermi-level density of states ... 1.82 states/eV per cell
E ... -14.0 eV/cell

[4]
A geometry-optimized Ca2Ni2Br structure. Source: the Alexandria database, functional PBE-GGA.

Unit cell a=5.5036 b=5.5036 c=7.4301 alpha=90.00 beta=90.00 gamma=90.00
Last column: nearest neighbours and their distance in Å.
Space group I4/mmm (No. 139)
One atom of each set of equivalent atoms:
Ca  0.0000  0.5000  0.2500 x4  4 Ni 2.85
Ni  0.0000  0.0000  0.1512 x4  1 Ni 2.25
Br  0.0000  0.0000  0.5000 x2  2 Ni 2.59

Values from the calculation:
Fermi-level density of states ... 5.41 states/eV per cell
E ... -36.1 eV/cell